[1]
DFT (PBE) results for a relaxed Ca3Zr5Se12 crystal.

abc: 14.382 14.382 14.382
angles: 109.47 109.47 109.47
Element x y z (fractional)
Ca (0.750, 0.375, 0.125)
Ca (0.875, 0.750, 0.125)
Ca (0.375, 0.750, 0.625)
Ca (0.250, 0.125, 0.375)
Ca (0.875, 0.125, 0.250)
Ca (0.375, 0.625, 0.250)
Ca (0.625, 0.375, 0.750)
Ca (0.125, 0.875, 0.750)
Ca (0.750, 0.875, 0.625)
Ca (0.625, 0.250, 0.375)
Ca (0.125, 0.250, 0.875)
Ca (0.250, 0.625, 0.875)
Zr (0.125, 0.375, 0.250)
Zr (0.000, 0.500, 0.000)
Zr (0.000, 0.000, 0.000)
Zr (0.375, 0.250, 0.125)
Zr (0.500, 0.000, 0.500)
Zr (0.500, 0.500, 0.000)
Zr (0.125, 0.750, 0.375)
Zr (0.750, 0.125, 0.875)
Zr (0.750, 0.625, 0.375)
Zr (0.375, 0.125, 0.750)
Zr (0.625, 0.875, 0.250)
Zr (0.500, 0.500, 0.500)
Zr (0.500, 0.000, 0.000)
Zr (0.000, 0.000, 0.500)
Zr (0.250, 0.375, 0.625)
Zr (0.250, 0.875, 0.125)
Zr (0.000, 0.500, 0.500)
Zr (0.875, 0.250, 0.625)
Zr (0.625, 0.750, 0.875)
Zr (0.875, 0.625, 0.750)
Se (0.713, 0.121, 0.036)
Se (0.322, 0.536, 0.414)
Se (0.964, 0.379, 0.287)
Se (0.536, 0.213, 0.121)
Se (0.592, 0.713, 0.678)
Se (0.964, 0.586, 0.178)
Se (0.322, 0.787, 0.408)
Se (0.086, 0.908, 0.121)
Se (0.586, 0.964, 0.678)
Se (0.713, 0.592, 0.178)
Se (0.787, 0.464, 0.379)
Se (0.822, 0.914, 0.036)
Se (0.121, 0.713, 0.536)
Se (0.379, 0.414, 0.092)
Se (0.092, 0.914, 0.379)
Se (0.408, 0.121, 0.586)
Se (0.092, 0.178, 0.213)
Se (0.464, 0.678, 0.086)
Se (0.822, 0.908, 0.287)
Se (0.121, 0.408, 0.086)
Se (0.379, 0.964, 0.787)
Se (0.586, 0.621, 0.408)
Se (0.914, 0.822, 0.536)
Se (0.787, 0.322, 0.908)
Se (0.414, 0.379, 0.592)
Se (0.086, 0.178, 0.464)
Se (0.213, 0.678, 0.092)
Se (0.178, 0.092, 0.713)
Se (0.621, 0.036, 0.213)
Se (0.879, 0.592, 0.914)
Se (0.536, 0.322, 0.914)
Se (0.592, 0.879, 0.414)
Se (0.908, 0.822, 0.787)
Se (0.908, 0.086, 0.621)
Se (0.879, 0.287, 0.464)
Se (0.178, 0.086, 0.964)
Se (0.621, 0.586, 0.908)
Se (0.414, 0.036, 0.322)
Se (0.287, 0.408, 0.822)
Se (0.213, 0.536, 0.621)
Se (0.914, 0.092, 0.879)
Se (0.678, 0.213, 0.592)
Se (0.464, 0.787, 0.879)
Se (0.036, 0.414, 0.822)
Se (0.408, 0.287, 0.322)
Se (0.036, 0.621, 0.713)
Se (0.678, 0.464, 0.586)
Se (0.287, 0.879, 0.964)

Results
SG	No. 230

=====

[2]
DFT (PBE) results for a relaxed Ca2ZrSe crystal.

abc: 6.574 6.574 5.469
angles: 65.36 65.36 31.41
Element x y z (fractional)
Ca (0.992, 0.992, 0.008)
Ca (0.800, 0.800, 0.701)
Zr (0.196, 0.196, 0.305)
Se (0.513, 0.513, 0.486)

Results
SG	No. 8

=====

[3]
DFT (PBE) results for a relaxed Ca2ZrSe crystal.

abc: 3.569 3.569 8.964
angles: 90.00 90.00 90.00
Element x y z (fractional)
Ca (0.000, 0.000, 0.960)
Ca (0.500, 0.500, 0.311)
Se (0.000, 0.000, 0.543)
Zr (0.500, 0.500, 0.686)

Results
SG	No. 99

=====

[4]
DFT (PBE) results for a relaxed CaZr2Se crystal.

abc: 5.080 5.080 5.080
angles: 60.00 60.00 60.00
Element x y z (fractional)
Ca (0.500, 0.500, 0.500)
Se (0.750, 0.750, 0.750)
Zr (0.000, 0.000, 0.000)
Zr (0.250, 0.250, 0.250)

Results
SG	No. 216

=====

[5]
DFT (PBE) results for a relaxed CaZrSe crystal.

abc: 16.327 4.145 4.155
angles: 90.00 90.00 90.00
Element x y z (fractional)
Ca (0.676, 0.500, 0.000)
Ca (0.324, 0.500, 0.000)
Ca (0.176, 0.000, 0.500)
Ca (0.824, 0.000, 0.500)
Se (0.872, 0.500, 0.000)
Se (0.128, 0.500, 0.000)
Se (0.372, 0.000, 0.500)
Se (0.628, 0.000, 0.500)
Zr (0.000, 0.500, 0.500)
Zr (0.500, 0.000, 0.000)
Zr (0.000, 0.000, 0.000)
Zr (0.500, 0.500, 0.500)

Results
offset from the most stable computed form	0.100	eV/atom
SG	No. 71

=====

[6]
DFT (PBE) results for a relaxed CaZrSe crystal.

abc: 3.897 9.477 4.223
angles: 90.00 90.00 90.00
Element x y z (fractional)
Ca (0.000, 0.830, 0.000)
Ca (0.500, 0.170, 0.500)
Se (0.000, 0.149, 0.000)
Se (0.500, 0.851, 0.500)
Zr (0.000, 0.436, 0.000)
Zr (0.500, 0.564, 0.500)

Results
offset from the most stable computed form	0.000	eV/atom
SG	No. 59

=====

no.,raw total energy (eV per formula unit)
1,-116.82
2,-17.89
3,-18.08
4,-22.16
5,-16.74
6,-17.04